Record 1
Entry from OQMD: a relaxed structure of FeCoGeW (GGA-PBE).

Cell and atoms, written as POSCAR:
```
FeCoGeW
1.0
0.0000 2.9510 2.9510
2.9510 0.0000 2.9510
2.9510 2.9510 0.0000
Fe Co Ge W
1 1 1 1
Direct
0.0000 0.0000 0.0000 Fe
0.5000 0.5000 0.5000 Co
0.2500 0.2500 0.2500 Ge
0.7500 0.7500 0.7500 W
```

## Properties
relative energy among the computed polymorphs: 0.000 eV/atom

Record 2
Entry from OQMD: a relaxed structure of YFeCoGe2 (GGA-PBE).

Cell and atoms, written as POSCAR:
```
YFeCoGe2
1.0
-1.9999 1.9999 4.9914
1.9999 -1.9999 4.9914
1.9999 1.9999 -4.9914
Y Fe Co Ge
1 1 1 2
Direct
0.0000 0.0000 0.0000 Y
0.7500 0.2500 0.5000 Fe
0.2500 0.7500 0.5000 Co
0.3694 0.3694 0.0000 Ge
0.6306 0.6306 0.0000 Ge
```

## Properties
total energy: -6.78 eV/atom

Record 3
Entry from OQMD: a relaxed structure of Y2FeCoGe4 (GGA-PBE).

Cell and atoms, written as POSCAR:
```
Y2FeCoGe4
1.0
4.1685 0.0000 0.0000
0.0000 2.0726 8.3007
0.0000 -2.0726 8.3007
Y Fe Co Ge
2 1 1 4
Direct
0.0000 0.0000 0.0000 Y
0.5000 0.2185 0.2185 Y
0.5000 0.4281 0.4281 Fe
0.0000 0.7900 0.7900 Co
0.0000 0.3598 0.3598 Ge
0.0000 0.6545 0.6545 Ge
0.5000 0.5642 0.5642 Ge
0.5000 0.8581 0.8581 Ge
```

## Properties
total energy: -6.41 eV/atom

Record 4
Entry from OQMD: a relaxed structure of YFeCoGe (GGA-PBE).

Cell and atoms, written as POSCAR:
```
YFeCoGe
1.0
0.0000 3.2043 3.2043
3.2043 0.0000 3.2043
3.2043 3.2043 0.0000
Y Fe Co Ge
1 1 1 1
Direct
0.0000 0.0000 0.0000 Y
0.7500 0.7500 0.7500 Fe
0.5000 0.5000 0.5000 Co
0.2500 0.2500 0.2500 Ge
```

## Properties
relative energy among the computed polymorphs: 0.088 eV/atom

Record 5
Entry from OQMD: a relaxed structure of YFeCoGe (GGA-PBE).

Cell and atoms, written as POSCAR:
```
YFeCoGe
1.0
0.0000 3.2122 3.2122
3.2122 0.0000 3.2122
3.2122 3.2122 0.0000
Y Fe Co Ge
1 1 1 1
Direct
0.0000 0.0000 0.0000 Y
0.5000 0.5000 0.5000 Fe
0.7500 0.7500 0.7500 Co
0.2500 0.2500 0.2500 Ge
```

## Properties
relative energy among the computed polymorphs: 0.064 eV/atom

Record 6
Entry from OQMD: a relaxed structure of YFeCoGe (GGA-PBE).

Cell and atoms, written as POSCAR:
```
YFeCoGe
1.0
0.0000 3.0915 3.0915
3.0915 0.0000 3.0915
3.0915 3.0915 0.0000
Y Fe Co Ge
1 1 1 1
Direct
0.0000 0.0000 0.0000 Y
0.2500 0.2500 0.2500 Fe
0.7500 0.7500 0.7500 Co
0.5000 0.5000 0.5000 Ge
```

## Properties
relative energy among the computed polymorphs: 0.000 eV/atom

Record 7
Entry from OQMD: a relaxed structure of FeCoH (GGA-PBE).

Cell and atoms, written as POSCAR:
```
FeCoH
1.0
4.7260 -1.2831 0.0000
4.7260 1.2831 0.0000
-2.0708 0.0000 3.9102
Fe Co H
2 2 2
Direct
0.1145 0.1145 0.4464 Fe
0.8855 0.8855 0.5536 Fe
0.3777 0.3777 0.0425 Co
0.6223 0.6223 0.9575 Co
0.2500 0.2500 0.2470 H
0.7500 0.7500 0.7530 H
```

## Properties
total energy: -6.27 eV/atom

Record 8
Entry from OQMD: a relaxed structure of Nd2Fe15Co2H3 (GGA-PBE).

Cell and atoms, written as POSCAR:
```
Nd2Fe15Co2H3
1.0
4.2805 2.4713 4.0719
-4.2805 2.4713 4.0719
0.0000 -4.9427 4.0719
Nd Fe Co H
2 15 2 3
Direct
0.1562 0.1562 0.1562 Nd
0.8438 0.8438 0.8438 Nd
0.0000 0.5000 0.5000 Fe
0.1602 0.1602 0.6502 Fe
0.1602 0.6502 0.1602 Fe
0.2169 0.5000 0.7831 Fe
0.2169 0.7831 0.5000 Fe
0.3498 0.8398 0.8398 Fe
0.5000 0.0000 0.5000 Fe
0.5000 0.2169 0.7831 Fe
0.5000 0.5000 0.0000 Fe
0.5000 0.7831 0.2169 Fe
0.6502 0.1602 0.1602 Fe
0.7831 0.2169 0.5000 Fe
0.7831 0.5000 0.2169 Fe
0.8398 0.3498 0.8398 Fe
0.8398 0.8398 0.3498 Fe
0.4060 0.4060 0.4060 Co
0.5940 0.5940 0.5940 Co
0.0000 0.0000 0.5000 H
0.0000 0.5000 0.0000 H
0.5000 0.0000 0.0000 H
```

## Properties
total energy: -7.23 eV/atom

Record 9
Entry from OQMD: a relaxed structure of Hf2FeCo (GGA-PBE).

Cell and atoms, written as POSCAR:
```
Hf2FeCo
1.0
0.0000 3.1293 3.1293
3.1293 0.0000 3.1293
3.1293 3.1293 0.0000
Hf Fe Co
2 1 1
Direct
0.0000 0.0000 0.0000 Hf
0.2500 0.2500 0.2500 Hf
0.5000 0.5000 0.5000 Fe
0.7500 0.7500 0.7500 Co
```

## Properties
formation energy from the elements: 0.08 eV/atom

Record 10
Entry from OQMD: a relaxed structure of Hf6FeCo (GGA-PBE).

Cell and atoms, written as POSCAR:
```
Hf6FeCo
1.0
8.7629 0.0000 0.0000
0.0000 1.6262 5.3840
0.0000 -1.6262 5.3840
Hf Fe Co
6 1 1
Direct
0.0000 0.0000 0.0000 Hf
0.1902 0.2872 0.2872 Hf
0.3094 0.5607 0.5607 Hf
0.5000 0.8490 0.8490 Hf
0.6906 0.5607 0.5607 Hf
0.8098 0.2872 0.2872 Hf
0.0000 0.6898 0.6898 Fe
0.5000 0.1536 0.1536 Co
```

## Properties
formation energy from the elements: -0.19 eV/atom

Record 11
Entry from OQMD: a relaxed structure of Hf2In2FeCoIr2 (GGA-PBE).

Cell and atoms, written as POSCAR:
```
Hf2In2FeCoIr2
1.0
4.5162 0.0000 0.0000
0.0000 4.5162 0.0000
0.0000 0.0000 6.3860
Hf In Fe Co Ir
2 2 1 1 2
Direct
0.0000 0.5000 0.2503 Hf
0.5000 0.0000 0.7497 Hf
0.0000 0.5000 0.7505 In
0.5000 0.0000 0.2495 In
0.0000 0.0000 0.5000 Fe
0.5000 0.5000 0.0000 Co
0.0000 0.0000 0.0000 Ir
0.5000 0.5000 0.5000 Ir
```

## Properties
total energy: -7.75 eV/atom

Record 12
Entry from OQMD: a relaxed structure of Hf4FeCoN2 (GGA-PBE).

Cell and atoms, written as POSCAR:
```
Hf4FeCoN2
1.0
3.1597 0.0000 0.0000
-1.5798 2.7364 0.0000
0.0000 0.0000 13.1318
Hf Fe Co N
4 1 1 2
Direct
0.0000 0.0000 0.1446 Hf
0.0000 0.0000 0.8554 Hf
0.6667 0.3333 0.3525 Hf
0.6667 0.3333 0.6475 Hf
0.0000 0.0000 0.5000 Fe
0.6667 0.3333 0.0000 Co
0.3333 0.6667 0.2479 N
0.3333 0.6667 0.7521 N
```

## Properties
total energy: -9.84 eV/atom

Record 13
Entry from OQMD: a relaxed structure of HfFeCoSi (GGA-PBE).

Cell and atoms, written as POSCAR:
```
HfFeCoSi
1.0
0.0000 2.9546 2.9546
2.9546 0.0000 2.9546
2.9546 2.9546 0.0000
Hf Fe Co Si
1 1 1 1
Direct
0.0000 0.0000 0.0000 Hf
0.2500 0.2500 0.2500 Fe
0.7500 0.7500 0.7500 Co
0.5000 0.5000 0.5000 Si
```

## Properties
relative energy among the computed polymorphs: 0.000 eV/atom